Computed, not measured: a geometry-optimized Ca4SbBr structure at the PBE level of DFT.

Unit cell a=6.727 b=6.727 c=6.727 alpha=60.00 beta=60.00 gamma=60.00
Sites, in units of the cell vectors:
Ca 0.870 0.377 0.377
Ca 0.377 0.377 0.870
Ca 0.377 0.870 0.377
Ca 0.377 0.377 0.377
Sb 0.750 0.750 0.750
Br 0.000 0.000 0.000

## Properties
ΔE_f (raw)	-0.17	eV/atom
symmetry	F-43m (216)